Crystalline HfCrCuO5 at its relaxed geometry. Source: Alexandria via LeMat-Bulk, functional GGA+U.

POSCAR file:
```
HfCrCuO5
1.0
-2.862 -4.641 1.030
3.148 -0.744 -4.509
4.879 0.522 5.661
Hf O Cu Cr
2 10 2 2
direct
0.000 0.000 0.000
0.000 0.000 0.500
0.980 0.340 0.178
0.660 0.020 0.322
0.628 0.668 0.922
0.668 0.628 0.422
0.332 0.372 0.578
0.118 0.882 0.250
0.020 0.660 0.822
0.372 0.332 0.078
0.882 0.118 0.750
0.340 0.980 0.678
0.323 0.677 0.750
0.677 0.323 0.250
0.341 0.659 0.250
0.659 0.341 0.750
```

Total energy ... -0.2763 hartree per atom
Density ... 6.35 g/cm3
Space group ... C2/c, No. 15